# Ag3Au (meta-GGA SCAN, PBEsol geometry)
data_Ag3Au
_chemical_formula_sum 'Ag3 Au1'
_symmetry_space_group_name_H-M 'P m m 2'
_symmetry_Int_Tables_number 25
_cell_length_a 2.8498
_cell_length_b 4.7003
_cell_length_c 4.9660
_cell_angle_alpha 90.00
_cell_angle_beta 90.00
_cell_angle_gamma 90.00
loop_
_symmetry_equiv_pos_as_xyz
'x,y,z'
'-x,-y,z'
'-x,y,z'
'x,-y,z'
loop_
_atom_site_label
_atom_site_fract_x
_atom_site_fract_y
_atom_site_fract_z
Ag1 0.0000 0.0000 0.0000
Ag2 0.0000 0.5000 0.3289
Ag3 0.5000 0.0000 0.4991
Au1 0.5000 0.5000 0.8289
# E: -163.45 eV/cell
# N(E_F): 0.969 states/eV per cell


# Ag5Au (meta-GGA SCAN, PBEsol geometry)
data_Ag5Au
_chemical_formula_sum 'Ag5 Au1'
_symmetry_space_group_name_H-M 'P 4/m m m'
_symmetry_Int_Tables_number 123
_symmetry_space_group_name_Hall '-P 4 2'
_cell_length_a 2.8429
_cell_length_b 2.8429
_cell_length_c 12.3179
_cell_angle_alpha 90.00
_cell_angle_beta 90.00
_cell_angle_gamma 90.00
loop_
_atom_site_label
_atom_site_fract_x
_atom_site_fract_y
_atom_site_fract_z
Ag1 0.0000 0.0000 0.0000
Ag2 0.0000 0.0000 0.3322
Ag3 0.5000 0.5000 0.1663
Au1 0.5000 0.5000 0.5000
# ΔE to the lowest computed polymorph: 14 meV/atom
# E: -226.17 eV/cell
# N(E_F): 1.567 states/eV per cell


# AgAu7 (meta-GGA SCAN, PBEsol geometry)
data_AgAu7
_chemical_formula_sum 'Ag4 Au28'
_symmetry_space_group_name_H-M 'F m -3 m'
_symmetry_Int_Tables_number 225
_symmetry_space_group_name_Hall '-F 4 2 3'
_cell_length_a 8.1379
_cell_length_b 8.1379
_cell_length_c 8.1379
_cell_angle_alpha 90.00
_cell_angle_beta 90.00
_cell_angle_gamma 90.00
loop_
_atom_site_label
_atom_site_fract_x
_atom_site_fract_y
_atom_site_fract_z
Ag1 0.0000 0.0000 0.0000
Au1 0.0000 0.0000 0.5000
Au2 0.0000 0.2500 0.2500
# E: -2062.89 eV/cell
# N(E_F): 8.871 states/eV per cell


# Ag2Au3 (meta-GGA SCAN, PBEsol geometry)
data_Ag2Au3
_chemical_formula_sum 'Ag4 Au6'
_symmetry_space_group_name_H-M 'I m m m'
_symmetry_Int_Tables_number 71
_symmetry_space_group_name_Hall '-I 2 2'
_cell_length_a 2.8453
_cell_length_b 4.0977
_cell_length_c 14.3615
_cell_angle_alpha 90.00
_cell_angle_beta 90.00
_cell_angle_gamma 90.00
loop_
_atom_site_label
_atom_site_fract_x
_atom_site_fract_y
_atom_site_fract_z
Ag1 0.0000 0.0000 0.2003
Au1 0.0000 0.0000 0.0000
Au2 0.0000 0.0000 0.3984
# ΔE to the lowest computed polymorph: 16 meV/atom
# E: -540.99 eV/cell
# N(E_F): 2.759 states/eV per cell


# Ag8Au (meta-GGA SCAN, PBEsol geometry)
data_Ag8Au
_chemical_formula_sum 'Ag16 Au2'
_symmetry_space_group_name_H-M 'I 4/m m m'
_symmetry_Int_Tables_number 139
_symmetry_space_group_name_Hall '-I 4 2'
_cell_length_a 8.5899
_cell_length_b 8.5899
_cell_length_c 4.0383
_cell_angle_alpha 90.00
_cell_angle_beta 90.00
_cell_angle_gamma 90.00
loop_
_atom_site_label
_atom_site_fract_x
_atom_site_fract_y
_atom_site_fract_z
Ag1 0.0000 0.3337 0.0000
Ag2 0.1668 0.1668 0.5000
Au1 0.0000 0.0000 0.0000
# E: -640.69 eV/cell
# N(E_F): 4.531 states/eV per cell


# Ag3Au (meta-GGA SCAN, PBEsol geometry)
data_Ag3Au
_chemical_formula_sum 'Ag9 Au3'
_symmetry_space_group_name_H-M 'R -3 m'
_symmetry_Int_Tables_number 166
_symmetry_space_group_name_Hall '-R 3 2"'
_cell_length_a 2.8780
_cell_length_b 2.8780
_cell_length_c 27.8538
_cell_angle_alpha 90.00
_cell_angle_beta 90.00
_cell_angle_gamma 120.00
loop_
_atom_site_label
_atom_site_fract_x
_atom_site_fract_y
_atom_site_fract_z
Ag1 0.0000 0.0000 0.0000
Ag2 0.0000 0.0000 0.2505
Au1 0.0000 0.0000 0.5000
# E: -490.18 eV/cell
# N(E_F): 2.452 states/eV per cell


# Ag2Au3 (meta-GGA SCAN, PBEsol geometry)
data_Ag2Au3
_chemical_formula_sum 'Ag4 Au6'
_symmetry_space_group_name_H-M 'I 4/m m m'
_symmetry_Int_Tables_number 139
_symmetry_space_group_name_Hall '-I 4 2'
_cell_length_a 2.8519
_cell_length_b 2.8519
_cell_length_c 20.5529
_cell_angle_alpha 90.00
_cell_angle_beta 90.00
_cell_angle_gamma 90.00
loop_
_atom_site_label
_atom_site_fract_x
_atom_site_fract_y
_atom_site_fract_z
Ag1 0.0000 0.0000 0.0998
Au1 0.0000 0.0000 0.3008
Au2 0.0000 0.0000 0.5000
# ΔE to the lowest computed polymorph: 0 meV/atom
# E: -541.15 eV/cell
# N(E_F): 2.590 states/eV per cell


# Ag3Au (meta-GGA SCAN, PBEsol geometry)
data_Ag3Au
_chemical_formula_sum 'Ag6 Au2'
_symmetry_space_group_name_H-M 'P 63/m m c'
_symmetry_Int_Tables_number 194
_symmetry_space_group_name_Hall '-P 6c 2c'
_cell_length_a 5.7463
_cell_length_b 5.7463
_cell_length_c 4.6639
_cell_angle_alpha 90.00
_cell_angle_beta 90.00
_cell_angle_gamma 120.00
loop_
_atom_site_label
_atom_site_fract_x
_atom_site_fract_y
_atom_site_fract_z
Ag1 0.1665 0.3330 0.2500
Au1 0.3333 0.6667 0.7500
# E: -326.98 eV/cell
# N(E_F): 2.511 states/eV per cell


# Ag3Au (meta-GGA SCAN, PBEsol geometry)
data_Ag3Au
_chemical_formula_sum 'Ag6 Au2'
_symmetry_space_group_name_H-M 'C 1 2/m 1'
_symmetry_Int_Tables_number 12
_cell_length_a 9.4842
_cell_length_b 2.8654
_cell_length_c 4.9629
_cell_angle_alpha 90.00
_cell_angle_beta 99.74
_cell_angle_gamma 90.00
loop_
_symmetry_equiv_pos_as_xyz
'x,y,z'
'-x,-y,-z'
'-x,y,-z'
'x,-y,z'
'x+1/2,y+1/2,z'
'-x+1/2,-y+1/2,-z'
'-x+1/2,y+1/2,-z'
'x+1/2,-y+1/2,z'
loop_
_atom_site_label
_atom_site_fract_x
_atom_site_fract_y
_atom_site_fract_z
Ag1 0.0000 0.0000 0.0000
Ag2 0.2496 0.0000 0.7504
Au1 0.0000 0.5000 0.5000
# E: -326.96 eV/cell
# N(E_F): 1.917 states/eV per cell


# BaAg4Au (meta-GGA SCAN, PBEsol geometry)
data_BaAg4Au
_chemical_formula_sum 'Ba4 Ag16 Au4'
_symmetry_space_group_name_H-M 'F -4 3 m'
_symmetry_Int_Tables_number 216
_symmetry_space_group_name_Hall 'F -4 2 3'
_cell_length_a 7.9173
_cell_length_b 7.9173
_cell_length_c 7.9173
_cell_angle_alpha 90.00
_cell_angle_beta 90.00
_cell_angle_gamma 90.00
loop_
_atom_site_label
_atom_site_fract_x
_atom_site_fract_y
_atom_site_fract_z
Ba1 0.0000 0.0000 0.0000
Ag1 0.1240 0.1240 0.3760
Au1 0.2500 0.2500 0.7500
# E: -940.83 eV/cell
# N(E_F): 11.390 states/eV per cell


# BaAgAu (meta-GGA SCAN, PBEsol geometry)
data_BaAgAu
_chemical_formula_sum 'Ba4 Ag4 Au4'
_symmetry_space_group_name_H-M 'F -4 3 m'
_symmetry_Int_Tables_number 216
_symmetry_space_group_name_Hall 'F -4 2 3'
_cell_length_a 7.1011
_cell_length_b 7.1011
_cell_length_c 7.1011
_cell_angle_alpha 90.00
_cell_angle_beta 90.00
_cell_angle_gamma 90.00
loop_
_atom_site_label
_atom_site_fract_x
_atom_site_fract_y
_atom_site_fract_z
Ba1 0.0000 0.0000 0.0000
Ag1 0.2500 0.2500 0.7500
Au1 0.0000 0.0000 0.5000
# ΔE to the lowest computed polymorph: 261 meV/atom
# E: -564.63 eV/cell
# N(E_F): 4.983 states/eV per cell


# Ba2AgAu (meta-GGA SCAN, PBEsol geometry)
data_Ba2AgAu
_chemical_formula_sum 'Ba2 Ag1 Au1'
_symmetry_space_group_name_H-M 'P 4 m m'
_symmetry_Int_Tables_number 99
_cell_length_a 3.8754
_cell_length_b 3.8754
_cell_length_c 9.0318
_cell_angle_alpha 90.00
_cell_angle_beta 90.00
_cell_angle_gamma 90.00
loop_
_symmetry_equiv_pos_as_xyz
'x,y,z'
'-y,x,z'
'-x,-y,z'
'y,-x,z'
'-x,y,z'
'y,x,z'
'x,-y,z'
'-y,-x,z'
loop_
_atom_site_label
_atom_site_fract_x
_atom_site_fract_y
_atom_site_fract_z
Ba1 0.0000 0.0000 0.0000
Ba2 0.5000 0.5000 0.4337
Ag1 0.0000 0.0000 0.6530
Au1 0.5000 0.5000 0.7908
# E: -180.97 eV/cell
# N(E_F): 2.847 states/eV per cell


no.,magnetic moment (μB/f.u.)
1,0.000
2,0.000
3,0.000
4,0.000
5,0.000
6,0.000
7,0.000
8,0.000
9,0.000
10,0.001
11,0.000
12,0.004